1.
Computed, not measured: a crystal of CdAgPt2Br relaxed with PBEsol at the meta-GGA SCAN level of DFT.

Final energy in eV/atom: -43.19
Total magnetic moment in μB per cell: 0.00
Energy relative to the elements, uncorrected in meV/atom: 1136

Cell and atoms, written as extended XYZ:
```
5
Lattice="4.691 0.000 0.000 0.000 4.691 0.000 0.000 0.000 5.256" Properties=species:S:1:pos:R:3 pbc="T T T"
Br 0.000 0.000 0.000
Ag 2.345 2.345 2.628
Pt 0.000 2.345 0.000
Pt 2.345 0.000 0.000
Cd 0.000 0.000 2.628
```



2.
Computed, not measured: a crystal of Cs2CeAgBr6 relaxed with PBEsol at the meta-GGA SCAN level of DFT.

Final energy in eV/atom: -28.59
Total magnetic moment in μB per cell: 1.00
Energy relative to the elements, uncorrected in meV/atom: -1757

Cell and atoms, written as extended XYZ:
```
10
Lattice="-5.509 -5.734 0.482 1.963 -7.554 -1.595 0.331 -5.357 5.886" Properties=species:S:1:pos:R:3 pbc="T T T"
Cs -2.412 -13.984 3.580
Cs -0.804 -4.661 1.193
Ce -1.608 -9.322 2.387
Ag 0.000 0.000 0.000
Br -3.585 -7.504 1.421
Br -2.590 -11.332 0.613
Br 0.369 -11.141 3.352
Br -3.417 -10.219 4.404
Br 0.202 -8.426 0.369
Br -0.626 -7.313 4.160
```



3.
Computed, not measured: a crystal of K2CeAgBr6 relaxed with PBEsol at the meta-GGA SCAN level of DFT.

Final energy in eV/atom: -22.57
Total magnetic moment in μB per cell: 1.00
Energy relative to the elements, uncorrected in meV/atom: -1638

Cell and atoms, written as extended XYZ:
```
10
Lattice="-0.457 5.469 -5.707 1.631 -1.956 -7.497 -5.820 -0.345 -5.357" Properties=species:S:1:pos:R:3 pbc="T T T"
K -3.485 2.376 -13.921
K -1.162 0.792 -4.640
Ce -2.323 1.584 -9.281
Ag 0.000 0.000 0.000
Br -1.376 3.557 -7.466
Br -0.547 2.564 -11.273
Br -3.271 -0.389 -11.095
Br -4.332 3.381 -10.186
Br -0.315 -0.214 -8.375
Br -4.099 0.604 -7.288
```



4.
Computed, not measured: a crystal of Rb2CeAgBr6 relaxed with PBEsol at the meta-GGA SCAN level of DFT.

Final energy in eV/atom: -25.11
Total magnetic moment in μB per cell: 1.00
Energy relative to the elements, uncorrected in meV/atom: -1690

Cell and atoms, written as extended XYZ:
```
10
Lattice="-2.739 5.341 -5.194 -2.574 -2.355 -7.130 -7.747 0.264 -1.709" Properties=species:S:1:pos:R:3 pbc="T T T"
Rb -9.796 2.437 -10.524
Rb -3.265 0.812 -3.508
Ce -6.531 1.625 -7.016
Ag 0.000 0.000 0.000
Br -4.607 3.511 -6.092
Br -5.913 2.316 -9.709
Br -8.454 -0.261 -7.941
Br -8.538 3.644 -6.959
Br -4.523 -0.395 -7.074
Br -7.148 0.934 -4.323
```



5.
Computed, not measured: a crystal of AgBr2Cl relaxed with PBEsol at the meta-GGA SCAN level of DFT.

Final energy in eV/atom: -19.81
Total magnetic moment in μB per cell: 0.00
Energy relative to the elements, uncorrected in meV/atom: -244
Polymorph energy (0 for the lowest one) in meV per atom: 0.0

Cell and atoms, written as extended XYZ:
```
4
Lattice="3.984 0.000 0.000 -1.992 3.532 0.203 0.000 -0.057 7.412" Properties=species:S:1:pos:R:3 pbc="T T T"
Ag 1.992 1.744 2.078
Br 0.000 0.628 0.418
Br 0.000 1.736 5.650
Cl 0.000 2.871 3.378
```



6.
Computed, not measured: a crystal of AgBr2Cl relaxed with PBEsol at the meta-GGA SCAN level of DFT.

Final energy in eV/atom: -19.62
Total magnetic moment in μB per cell: 0.00
Energy relative to the elements, uncorrected in meV/atom: -58
Polymorph energy (0 for the lowest one) in meV per atom: 185.6

Cell and atoms, written as extended XYZ:
```
4
Lattice="-2.621 1.428 2.178 3.372 -1.224 1.725 3.172 7.339 -0.994" Properties=species:S:1:pos:R:3 pbc="T T T"
Br 3.059 7.077 -0.959
Br -0.564 2.442 0.855
Ag 1.058 6.194 0.347
Cl 1.756 4.062 -0.550
```



7.
Computed, not measured: a crystal of AgBrCl2 relaxed with PBEsol at the meta-GGA SCAN level of DFT.

Final energy in eV/atom: -16.82
Total magnetic moment in μB per cell: 0.00
Energy relative to the elements, uncorrected in meV/atom: -127
Polymorph energy (0 for the lowest one) in meV per atom: 164.4

Cell and atoms, written as extended XYZ:
```
4
Lattice="-3.152 -1.506 -0.597 1.489 -1.183 -4.880 1.573 -4.309 2.569" Properties=species:S:1:pos:R:3 pbc="T T T"
Br -0.832 -1.345 -2.738
Ag -0.790 -2.907 0.986
Cl 0.768 -1.524 -0.211
Cl 2.293 -3.968 -2.100
```



8.
Computed, not measured: a crystal of AgBr2Cl relaxed with PBEsol at the meta-GGA SCAN level of DFT.

Final energy in eV/atom: -19.71
Total magnetic moment in μB per cell: 0.00
Energy relative to the elements, uncorrected in meV/atom: -139
Polymorph energy (0 for the lowest one) in meV per atom: 104.6

Cell and atoms, written as extended XYZ:
```
4
Lattice="-0.667 -1.407 3.838 -3.564 -1.899 0.919 1.716 -7.915 -0.368" Properties=species:S:1:pos:R:3 pbc="T T T"
Ag -1.257 -5.611 2.195
Br -3.245 -5.455 4.142
Br 0.730 -5.766 0.249
Cl 0.000 0.000 0.000
```



9.
Computed, not measured: a crystal of AgBrCl2 relaxed with PBEsol at the meta-GGA SCAN level of DFT.

Final energy in eV/atom: -16.78
Total magnetic moment in μB per cell: 0.00
Energy relative to the elements, uncorrected in meV/atom: -82
Polymorph energy (0 for the lowest one) in meV per atom: 209.6

Cell and atoms, written as extended XYZ:
```
4
Lattice="3.661 0.000 0.000 -1.830 3.527 0.000 0.000 0.000 7.875" Properties=species:S:1:pos:R:3 pbc="T T T"
Br 1.830 0.000 5.681
Ag 0.000 0.000 3.937
Cl 0.000 0.000 7.675
Cl 1.830 0.000 2.394
```



10.
Computed, not measured: a crystal of AgBrCl2 relaxed with PBEsol at the meta-GGA SCAN level of DFT.

Final energy in eV/atom: -16.99
Total magnetic moment in μB per cell: 0.00
Energy relative to the elements, uncorrected in meV/atom: -291
Polymorph energy (0 for the lowest one) in meV per atom: 0.0

Cell and atoms, written as extended XYZ:
```
4
Lattice="4.014 0.000 0.000 2.007 3.476 0.000 2.007 1.159 7.531" Properties=species:S:1:pos:R:3 pbc="T T T"
Ag 4.014 2.317 3.765
Br 0.000 0.000 0.000
Cl 6.020 3.476 2.409
Cl 2.007 1.159 5.122
```



11.
Computed, not measured: a crystal of AgBr2Cl2 relaxed with PBEsol at the meta-GGA SCAN level of DFT.

Final energy in eV/atom: -17.41
Total magnetic moment in μB per cell: 0.00
Energy relative to the elements, uncorrected in meV/atom: -164

Cell and atoms, written as extended XYZ:
```
10
Lattice="-5.523 2.710 -1.895 -2.483 -0.960 5.862 2.359 6.218 2.017" Properties=species:S:1:pos:R:3 pbc="T T T"
Br -1.078 2.851 4.443
Br -4.451 3.971 4.937
Br -4.568 5.117 1.540
Br -1.196 3.998 1.046
Ag 0.000 0.000 0.000
Ag -4.003 0.875 1.983
Cl -3.901 0.102 4.249
Cl -6.254 1.615 2.336
Cl -4.104 1.649 -0.282
Cl -1.751 0.136 1.630
```



12.
Computed, not measured: a crystal of AgBr2Cl relaxed with PBEsol at the meta-GGA SCAN level of DFT.

Final energy in eV/atom: -19.26
Total magnetic moment in μB per cell: 2.04
Energy relative to the elements, uncorrected in meV/atom: 302
Polymorph energy (0 for the lowest one) in meV per atom: 546.4

Cell and atoms, written as extended XYZ:
```
4
Lattice="4.979 0.000 0.000 2.489 4.312 0.000 2.489 1.437 4.065" Properties=species:S:1:pos:R:3 pbc="T T T"
Br 0.000 0.000 0.000
Br 7.468 4.312 3.049
Ag 4.979 2.875 2.033
Cl 2.489 1.437 1.016
```



> Which formula does entry 9 have?

AgBrCl2



Please write out number 10 again, unchanged.
Computed, not measured: a crystal of AgBrCl2 relaxed with PBEsol at the meta-GGA SCAN level of DFT.

Final energy in eV/atom: -16.99
Total magnetic moment in μB per cell: 0.00
Energy relative to the elements, uncorrected in meV/atom: -291
Polymorph energy (0 for the lowest one) in meV per atom: 0.0

Cell and atoms, written as extended XYZ:
```
4
Lattice="4.014 0.000 0.000 2.007 3.476 0.000 2.007 1.159 7.531" Properties=species:S:1:pos:R:3 pbc="T T T"
Ag 4.014 2.317 3.765
Br 0.000 0.000 0.000
Cl 6.020 3.476 2.409
Cl 2.007 1.159 5.122
```



> Which value of energy relative to the elements, uncorrected does entry 8 give?

-139 meV/atom